Below is a PBEsol-optimized structure of Ba2SrCa, with properties calculated at the SCAN level.

Values from the calculation:
- energy relative to the elements (eV/f.u.) = 0.2
- polymorph energy (0 for the lowest one) (meV per atom) = 26

Lattice parameters (Å, degrees): 4.1706 4.1706 41.4278 90.00 90.00 120.00
Space group R-3m (No. 166, hexagonal axes)
Inequivalent atoms, fractional coordinates:
1 Ba 0.0000 0.0000 0.2475 [6 per cell]
2 Sr 0.0000 0.0000 0.0000 [3 per cell]
3 Ca 0.0000 0.0000 0.5000 [3 per cell]

Below is a PBEsol-optimized structure of HfBe3W, with properties calculated at the SCAN level.

Values from the calculation:
- energy relative to the elements (eV/f.u.) = 10.9

Lattice parameters (Å, degrees): 4.192 4.192 4.192 90.00 90.00 90.00
Space group Pm-3m (No. 221)
Inequivalent atoms, fractional coordinates:
1 Hf 0.000 0.000 0.000 [1 per cell]
2 Be 0.000 0.000 0.500 [3 per cell]
3 W 0.500 0.500 0.500 [1 per cell]

Below is a PBEsol-optimized structure of TeAs3C, with properties calculated at the SCAN level.

Values from the calculation:
- formation energy without anion corrections (eV per atom) = 2.45

Lattice parameters (Å, degrees): 5.238 5.238 5.238 90.00 90.00 90.00
Space group Pm-3m (No. 221)
Inequivalent atoms, fractional coordinates:
1 Te 0.000 0.000 0.000 [1 per cell]
2 As 0.000 0.000 0.500 [3 per cell]
3 C 0.500 0.500 0.500 [1 per cell]

Below is a PBEsol-optimized structure of Ba2CdSb, with properties calculated at the SCAN level.

Values from the calculation:
- formation energy without anion corrections (eV per atom) = -0.73
- polymorph energy (0 for the lowest one) (meV per atom) = 79

Lattice parameters (Å, degrees): 5.874 5.874 8.278 90.00 90.00 90.00
Space group I4/mmm (No. 139)
Inequivalent atoms, fractional coordinates:
1 Ba 0.000 0.500 0.250 [4 per cell]
2 Cd 0.000 0.000 0.000 [2 per cell]
3 Sb 0.000 0.000 0.500 [2 per cell]

Below is a PBEsol-optimized structure of Sm2CdSb4, with properties calculated at the SCAN level.

Values from the calculation:
- formation energy without anion corrections (eV per atom) = -0.78

Lattice parameters (Å, degrees): 4.286 4.286 10.484 90.00 90.00 90.00
Space group P-4m2 (No. 115)
Inequivalent atoms, fractional coordinates:
1 Sm 0.000 0.500 0.236 [2 per cell]
2 Cd 0.500 0.500 0.500 [1 per cell]
3 Sb 0.000 0.000 0.000 [1 per cell]
4 Sb 0.000 0.500 0.676 [2 per cell]
5 Sb 0.500 0.500 0.000 [1 per cell]

Below is a PBEsol-optimized structure of Li2PmIn, with properties calculated at the SCAN level.

Values from the calculation:
- energy relative to the elements (eV/f.u.) = -1.6

Lattice parameters (Å, degrees): 6.872 6.872 6.872 90.00 90.00 90.00
Space group Fm-3m (No. 225)
Inequivalent atoms, fractional coordinates:
1 Li 0.250 0.250 0.250 [8 per cell]
2 Pm 0.000 0.000 0.000 [4 per cell]
3 In 0.000 0.000 0.500 [4 per cell]

Below is a PBEsol-optimized structure of Al8Zn3CoO16, with properties calculated at the SCAN level.

Values from the calculation:
- formation energy without anion corrections (eV per atom) = -2.89

Lattice parameters (Å, degrees): 5.724 5.724 8.095 90.00 90.00 90.00
Space group P-4m2 (No. 115)
Inequivalent atoms, fractional coordinates:
1 Al 0.000 0.250 0.375 [4 per cell]
2 Al 0.250 0.500 0.125 [4 per cell]
3 Zn 0.000 0.000 0.000 [1 per cell]
4 Zn 0.000 0.500 0.750 [2 per cell]
5 Co 0.500 0.500 0.500 [1 per cell]
6 O 0.000 0.222 0.611 [4 per cell]
7 O 0.000 0.278 0.139 [4 per cell]
8 O 0.222 0.500 0.361 [4 per cell]
9 O 0.278 0.500 0.889 [4 per cell]

Below is a PBEsol-optimized structure of CdCuP, with properties calculated at the SCAN level.

Values from the calculation:
- energy relative to the elements (eV/f.u.) = 0.8

Lattice parameters (Å, degrees): 2.706 3.489 10.221 90.00 90.00 90.00
Space group Imm2 (No. 44)
Inequivalent atoms, fractional coordinates:
1 Cd 0.000 0.000 0.000 [2 per cell]
2 Cu 0.000 0.000 0.312 [2 per cell]
3 P 0.000 0.000 0.710 [2 per cell]

no.,mass density (g/cm3)
1,3.21
2,8.77
3,4.21
4,5.92
5,7.76
6,5.60
7,4.55
8,7.12